CdInSn2: optimized geometry, PBE. Values from VASP.

**Total energy**: -0.211 Ry/atom
**SG**: P4/mmm
**Energy relative to the lowest polymorph listed for this composition**: 0 meV/atom
**DFT formation energy**: 0.04 eV/atom

Structure (Quantum ESPRESSO input):
```
&SYSTEM
  ibrav = 0, nat = 4, ntyp = 3
/
ATOMIC_SPECIES
Cd 112.41 Cd.upf
In 114.82 In.upf
Sn 118.71 Sn.upf
CELL_PARAMETERS angstrom
4.6632 0.0000 0.0000
0.0000 4.6632 0.0000
0.0000 0.0000 4.8779
ATOMIC_POSITIONS crystal
Cd 0.0000 0.0000 0.0000
In 0.5000 0.5000 0.0000
Sn 0.0000 0.5000 0.5000
Sn 0.5000 0.0000 0.5000
```


TaSN2Cl: optimized geometry, PBE. Values from VASP.

**Raw formation energy**: 1.933 eV/atom
**Total energy**: -0.365 Ry/atom
**SG**: P4/mmm
**Energy relative to the lowest polymorph listed for this composition**: 1487 meV/atom

Structure (Quantum ESPRESSO input):
```
&SYSTEM
  ibrav = 0, nat = 5, ntyp = 4
/
ATOMIC_SPECIES
Ta 180.95 Ta.upf
S 32.06 S.upf
N 14.01 N.upf
Cl 35.45 Cl.upf
CELL_PARAMETERS angstrom
3.8095 0.0000 0.0000
0.0000 3.8095 0.0000
0.0000 0.0000 4.3064
ATOMIC_POSITIONS crystal
Ta 0.0000 0.0000 0.0000
S 0.5000 0.5000 0.0000
N 0.0000 0.5000 0.5000
N 0.5000 0.0000 0.5000
Cl 0.5000 0.5000 0.5000
```


Ba3Y3HoSe8: optimized geometry, PBE. Values from VASP.

**Raw formation energy**: -1.932 eV/atom
**Total energy**: -0.424 Ry/atom
**SG**: R-3m

Structure (Quantum ESPRESSO input):
```
&SYSTEM
  ibrav = 0, nat = 15, ntyp = 4
/
ATOMIC_SPECIES
Ba 137.33 Ba.upf
Y 88.91 Y.upf
Ho 164.93 Ho.upf
Se 78.96 Se.upf
CELL_PARAMETERS angstrom
4.2144 2.4332 7.5325
-4.2144 2.4332 7.5325
0.0000 -4.8663 7.5325
ATOMIC_POSITIONS crystal
Ba 0.0000 0.5000 0.5000
Ba 0.5000 0.0000 0.5000
Ba 0.5000 0.5000 0.0000
Y 0.0000 0.0000 0.5000
Y 0.0000 0.5000 0.0000
Y 0.5000 0.0000 0.0000
Ho 0.5000 0.5000 0.5000
Se 0.2369 0.7369 0.7369
Se 0.2379 0.2379 0.2379
Se 0.2631 0.2631 0.7631
Se 0.2631 0.7631 0.2631
Se 0.7369 0.2369 0.7369
Se 0.7369 0.7369 0.2369
Se 0.7621 0.7621 0.7621
Se 0.7631 0.2631 0.2631
```